The following is a DFT calculation (PBEsol) of crystalline CrIrOF2 at its relaxed geometry.

Lattice parameters (Å, degrees): 3.8397 3.8397 3.9119 90.00 90.00 90.00
Last column: nearest neighbours and their distance in Å.
Element x y z (fractional)
Cr (0.0000, 0.0000, 0.0000)  4 F 1.92, 2 O 1.96
Ir (0.5000, 0.5000, 0.5000)  4 O 2.72, 8 F 2.74
O (0.0000, 0.0000, 0.5000)  2 Cr 1.96
F (0.0000, 0.5000, 0.0000)  2 Cr 1.92
F (0.5000, 0.0000, 0.0000)  2 Cr 1.92

Calculated values
Crystal system = tetragonal
Energy relative to the elements, uncorrected = -0.396 eV per atom
Total magnetic moment = 5.18 μB/f.u.

The following is a DFT calculation (PBEsol) of crystalline K2CrF at its relaxed geometry.

Lattice parameters (Å, degrees): 5.5340 5.5340 5.5340 60.00 60.00 60.00
Last column: nearest neighbours and their distance in Å.
Element x y z (fractional)
K (0.2500, 0.2500, 0.2500)  4 F 3.39, 4 Cr 3.39
K (0.7500, 0.7500, 0.7500)  4 F 3.39, 4 Cr 3.39
Cr (0.0000, 0.0000, 0.0000)  8 K 3.39
F (0.5000, 0.5000, 0.5000)  8 K 3.39

Calculated values
Crystal system = cubic
Energy relative to the elements, uncorrected = -0.114 eV per atom
Total magnetic moment = 5.00 μB/f.u.

The following is a DFT calculation (PBEsol) of crystalline KCr3F at its relaxed geometry.

Lattice parameters (Å, degrees): 4.7498 4.7498 4.7498 90.00 90.00 90.00
Last column: nearest neighbours and their distance in Å.
Element x y z (fractional)
K (0.0000, 0.0000, 0.0000)  12 Cr 3.36
Cr (0.0000, 0.5000, 0.5000)  2 F 2.37
Cr (0.5000, 0.0000, 0.5000)  2 F 2.37
Cr (0.5000, 0.5000, 0.0000)  2 F 2.37
F (0.5000, 0.5000, 0.5000)  6 Cr 2.37

Calculated values
Crystal system = cubic
Energy relative to the elements, uncorrected = 0.946 eV per atom
Total magnetic moment = 14.10 μB/f.u.

The following is a DFT calculation (PBEsol) of crystalline KCrF2 at its relaxed geometry.

Lattice parameters (Å, degrees): 6.9441 6.9441 6.9441 30.17 30.17 30.17
Last column: nearest neighbours and their distance in Å.
Element x y z (fractional)
K (0.0000, 0.0000, 0.0000)  2 F 2.50
Cr (0.5000, 0.5000, 0.5000)  6 F 2.24
F (0.1260, 0.1260, 0.1260)  3 Cr 2.24, 1 K 2.50
F (0.8740, 0.8740, 0.8740)  3 Cr 2.24, 1 K 2.50

Calculated values
Crystal system = trigonal
Energy relative to the elements, uncorrected = -1.476 eV per atom
Total magnetic moment = 4.38 μB/f.u.

The following is a DFT calculation (PBEsol) of crystalline K2LiCrF6 at its relaxed geometry.

Lattice parameters (Å, degrees): 5.6053 5.6053 5.6053 60.00 60.00 60.00
Last column: nearest neighbours and their distance in Å.
Element x y z (fractional)
K (0.2500, 0.2500, 0.2500)  12 F 2.80
K (0.7500, 0.7500, 0.7500)  12 F 2.80
Li (0.0000, 0.0000, 0.0000)  6 F 2.05
Cr (0.5000, 0.5000, 0.5000)  6 F 1.91
F (0.2588, 0.2588, 0.7412)  1 Cr 1.91, 1 Li 2.05
F (0.2588, 0.7412, 0.2588)  1 Cr 1.91, 1 Li 2.05
F (0.2588, 0.7412, 0.7412)  1 Cr 1.91, 1 Li 2.05
F (0.7412, 0.2588, 0.2588)  1 Cr 1.91, 1 Li 2.05
F (0.7412, 0.2588, 0.7412)  1 Cr 1.91, 1 Li 2.05
F (0.7412, 0.7412, 0.2588)  1 Cr 1.91, 1 Li 2.05

Calculated values
Crystal system = cubic
Energy relative to the elements, uncorrected = -2.866 eV per atom
Total magnetic moment = 3.00 μB/f.u.

The following is a DFT calculation (PBEsol) of crystalline KCrO3F at its relaxed geometry.

Lattice parameters (Å, degrees): 5.4811 5.4861 7.4159 111.09 110.82 90.11
Last column: nearest neighbours and their distance in Å.
Element x y z (fractional)
K (0.0000, 0.0000, 0.0000)  6 O 2.76-2.89, 2 F 2.78
K (0.2481, 0.7531, 0.4989)  6 O 2.76-2.88, 2 F 2.78-2.79
Cr (0.5076, 0.5206, 0.0040)  3 O 1.61, 1 F 1.77
Cr (0.7646, 0.2579, 0.5062)  3 O 1.61, 1 F 1.77
O (0.3613, 0.6897, 0.1511)  1 Cr 1.61
O (0.5287, 0.6660, 0.8553)  1 Cr 1.61
O (0.7262, 0.1093, 0.6480)  1 Cr 1.61
O (0.7975, 0.4884, 0.1432)  1 Cr 1.61
O (0.9203, 0.0924, 0.3658)  1 Cr 1.61
O (0.9270, 0.5502, 0.6505)  1 Cr 1.61
F (0.3207, 0.2017, 0.8536)  1 Cr 1.77
F (0.4484, 0.2890, 0.3454)  1 Cr 1.77

Calculated values
Crystal system = triclinic
Energy relative to the elements, uncorrected = -2.051 eV per atom
Total magnetic moment = 0.00 μB/f.u.

The following is a DFT calculation (PBEsol) of crystalline K2RbCrF6 at its relaxed geometry.

Lattice parameters (Å, degrees): 6.3116 6.3116 6.3116 60.00 60.00 60.00
Last column: nearest neighbours and their distance in Å.
Element x y z (fractional)
K (0.2500, 0.2500, 0.2500)  12 F 3.17
K (0.7500, 0.7500, 0.7500)  12 F 3.17
Rb (0.0000, 0.0000, 0.0000)  6 F 2.56
Cr (0.5000, 0.5000, 0.5000)  6 F 1.90
F (0.2868, 0.2868, 0.7132)  1 Cr 1.90
F (0.2868, 0.7132, 0.2868)  1 Cr 1.90
F (0.2868, 0.7132, 0.7132)  1 Cr 1.90
F (0.7132, 0.2868, 0.2868)  1 Cr 1.90
F (0.7132, 0.2868, 0.7132)  1 Cr 1.90
F (0.7132, 0.7132, 0.2868)  1 Cr 1.90

Calculated values
Crystal system = cubic
Energy relative to the elements, uncorrected = -2.746 eV per atom
Total magnetic moment = 3.00 μB/f.u.

The following is a DFT calculation (PBEsol) of crystalline LaCr2F at its relaxed geometry.

Lattice parameters (Å, degrees): 4.6125 4.6125 4.6125 60.00 60.00 60.00
Last column: nearest neighbours and their distance in Å.
Element x y z (fractional)
La (0.0000, 0.0000, 0.0000)  8 Cr 2.82
Cr (0.2500, 0.2500, 0.2500)  4 La 2.82, 4 F 2.82
Cr (0.7500, 0.7500, 0.7500)  4 F 2.82, 4 La 2.82
F (0.5000, 0.5000, 0.5000)  8 Cr 2.82

Calculated values
Crystal system = cubic
Energy relative to the elements, uncorrected = 0.656 eV per atom
Total magnetic moment = 7.18 μB/f.u.

The following is a DFT calculation (PBEsol) of crystalline La3CrF at its relaxed geometry.

Lattice parameters (Å, degrees): 5.0196 5.0196 5.0196 90.00 90.00 90.00
Last column: nearest neighbours and their distance in Å.
Element x y z (fractional)
La (0.0000, 0.0000, 0.5000)  2 F 2.51
La (0.0000, 0.5000, 0.0000)  2 F 2.51
La (0.5000, 0.0000, 0.0000)  2 F 2.51
Cr (0.5000, 0.5000, 0.5000)  12 La 3.55
F (0.0000, 0.0000, 0.0000)  6 La 2.51

Calculated values
Crystal system = cubic
Energy relative to the elements, uncorrected = -0.652 eV per atom
Total magnetic moment = 3.83 μB/f.u.

The following is a DFT calculation (PBEsol) of crystalline La2CrNiF at its relaxed geometry.

Lattice parameters (Å, degrees): 4.9984 4.9984 4.0636 90.00 90.00 90.00
Last column: nearest neighbours and their distance in Å.
Element x y z (fractional)
La (0.0000, 0.5000, 0.0000)  2 F 2.50
La (0.5000, 0.0000, 0.0000)  2 F 2.50
Cr (0.0000, 0.0000, 0.5000)  8 La 3.22, 4 Ni 3.53
Ni (0.5000, 0.5000, 0.5000)  2 F 2.03
F (0.5000, 0.5000, 0.0000)  2 Ni 2.03

Calculated values
Crystal system = tetragonal
Energy relative to the elements, uncorrected = -0.434 eV per atom
Total magnetic moment = 3.64 μB/f.u.